Record 1
GdNi: optimized geometry, PBE-GGA.

Lattice parameters (Å, degrees): 3.956 3.956 3.956 60.00 60.00 60.00
Fractional positions:
1 Gd 0.000 0.000 0.000
2 Ni 0.500 0.500 0.500

Computed properties:
Its density of states at the Fermi level is 1.11 states/eV per cell. As for the calculated volume: 44 Å³/cell. The value obtained for the magnetization is 7.126 μB/f.u. The space-group type is Fm-3m. The calculation puts the formation energy at -0.210 eV per atom. The total energy is -20.282 eV for the cell shown.

=====

Record 2
GdNi: optimized geometry, PBE-GGA.

Lattice parameters (Å, degrees): 5.350 5.350 5.514 90.00 90.00 82.59
Fractional positions:
1 Gd 0.051 0.335 0.250
2 Gd 0.335 0.051 0.750
3 Gd 0.665 0.949 0.250
4 Gd 0.949 0.665 0.750
5 Ni 0.198 0.802 0.250
6 Ni 0.500 0.500 0.000
7 Ni 0.500 0.500 0.500
8 Ni 0.802 0.198 0.750

Computed properties:
Its density of states at the Fermi level is 7.89 states/eV per cell. As for the calculated volume: 157 Å³/cell. The value obtained for the magnetization is 7.303 μB/f.u. The space-group type is Cmcm. The calculation puts the formation energy at -0.263 eV per atom. The total energy is -81.554 eV for the cell shown.

=====

Record 3
Gd2Ni7: optimized geometry, PBE-GGA.

Lattice parameters (Å, degrees): 12.447 12.447 12.447 22.98 22.98 22.98
Fractional positions:
1 Gd 0.050 0.050 0.050
2 Gd 0.147 0.147 0.147
3 Gd 0.853 0.853 0.853
4 Gd 0.950 0.950 0.950
5 Ni 0.000 0.500 0.500
6 Ni 0.109 0.610 0.610
7 Ni 0.278 0.278 0.278
8 Ni 0.388 0.388 0.388
9 Ni 0.390 0.390 0.891
10 Ni 0.390 0.891 0.390
11 Ni 0.500 0.000 0.500
12 Ni 0.500 0.500 0.000
13 Ni 0.500 0.500 0.500
14 Ni 0.610 0.109 0.610
15 Ni 0.610 0.610 0.109
16 Ni 0.612 0.612 0.612
17 Ni 0.722 0.722 0.722
18 Ni 0.891 0.390 0.390

Computed properties:
Its density of states at the Fermi level is 19.17 states/eV per cell. As for the calculated volume: 258 Å³/cell. The value obtained for the magnetization is 1.074 μB/f.u. The space-group type is R-3m. The calculation puts the formation energy at -0.369 eV per atom. The total energy is -143.901 eV for the cell shown.

=====

Record 4
GdNi: optimized geometry, PBE-GGA.

Lattice parameters (Å, degrees): 5.521 5.521 4.226 90.00 90.00 140.20
Fractional positions:
1 Gd 0.139 0.861 0.750
2 Gd 0.861 0.139 0.250
3 Ni 0.428 0.572 0.750
4 Ni 0.572 0.428 0.250

Computed properties:
Its density of states at the Fermi level is 3.27 states/eV per cell. As for the calculated volume: 82 Å³/cell. The value obtained for the magnetization is 7.204 μB/f.u. The space-group type is Cmcm. The calculation puts the formation energy at -0.407 eV per atom. The total energy is -41.352 eV for the cell shown.

=====

Record 5
GdNpNi4: optimized geometry, PBE-GGA.

Lattice parameters (Å, degrees): 5.064 5.064 5.064 60.00 60.00 60.00
Fractional positions:
1 Gd 0.000 0.000 0.000
2 Np 0.750 0.750 0.750
3 Ni 0.376 0.376 0.376
4 Ni 0.376 0.376 0.873
5 Ni 0.376 0.873 0.376
6 Ni 0.873 0.376 0.376

Computed properties:
Its density of states at the Fermi level is 12.98 states/eV per cell. As for the calculated volume: 92 Å³/cell. The value obtained for the magnetization is 10.894 μB/f.u. The space-group type is F-43m. The calculation puts the formation energy at -0.208 eV per atom. The total energy is -51.393 eV for the cell shown.